# 1
NaH3Br: optimized geometry, PBE.

Cell lengths 4.1886, 4.1886, 4.1886 Å; angles 90.00, 90.00, 90.00 degrees
With the nearest neighbours (Å) after each atom.
Fractional positions:
Na (0.0000, 0.0000, 0.0000)  12 H 2.96
H (0.0000, 0.5000, 0.5000)  2 Br 2.09
H (0.5000, 0.0000, 0.5000)  2 Br 2.09
H (0.5000, 0.5000, 0.0000)  2 Br 2.09
Br (0.5000, 0.5000, 0.5000)  6 H 2.09

## Properties
Spin magnetization: 0.0 Bohr magnetons per cell
E above lowest polymorph: 0.0 meV/atom

---

# 2
Pm3Tm2ScBi6: optimized geometry, PBE.

Cell lengths 10.0098, 10.0098, 8.9544 Å; angles 102.70, 102.70, 25.89 degrees
With the nearest neighbours (Å) after each atom.
Fractional positions:
Pm (0.0000, 0.0000, 0.0000)  6 Bi 3.21-3.26
Pm (0.3320, 0.3320, 0.6661)  6 Bi 3.21-3.25
Pm (0.6680, 0.6680, 0.3339)  6 Bi 3.21-3.25
Tm (0.3340, 0.3340, 0.1675)  6 Bi 3.13-3.14
Tm (0.6660, 0.6660, 0.8325)  6 Bi 3.13-3.14
Sc (0.0000, 0.0000, 0.5000)  6 Bi 3.06-3.08
Bi (0.1611, 0.1611, 0.5870)  1 Sc 3.06, 2 Tm 3.13, 3 Pm 3.21-3.25
Bi (0.1690, 0.1690, 0.0774)  3 Tm 3.13-3.14, 3 Pm 3.21
Bi (0.4986, 0.4986, 0.2635)  2 Sc 3.08, 1 Tm 3.13, 3 Pm 3.22-3.26
Bi (0.5014, 0.5014, 0.7365)  2 Sc 3.08, 1 Tm 3.13, 3 Pm 3.22-3.26
Bi (0.8310, 0.8310, 0.9226)  3 Tm 3.13-3.14, 3 Pm 3.21
Bi (0.8389, 0.8389, 0.4130)  1 Sc 3.06, 2 Tm 3.13, 3 Pm 3.21-3.25

## Properties
Spin magnetization: 0.0 Bohr magnetons per cell
ΔH_f (0 K): -9.998 eV per formula unit

---

| no. | total DFT energy (no corrections) (eV/atom) |
| --- | --- |
| 1 | -1.9801 |
| 2 | -5.2342 |